Record 1
The following is a DFT calculation (PBE) of a relaxed structure of La2PmHo7.

Cell lengths 6.1795, 10.6699, 8.0493 Å; angles 107.52, 74.93, 139.95 degrees
Fractional positions:
Ho 0.1020 0.3003 0.3975
Ho 0.2979 0.8987 0.1972
Ho 0.7021 0.1013 0.8028
La 0.4055 0.2039 0.6010
Ho 0.5000 0.5000 0.0000
Ho 0.8980 0.6997 0.6025
Pm 0.0000 0.0000 0.0000
Ho 0.7990 0.3997 0.1965
La 0.5945 0.7961 0.3990
Ho 0.2010 0.6003 0.8035

Calculated values
symmetry: P-1, No. 2
N(E_F): 1.507 states/eV/atom
offset from the most stable computed form: 0 meV/atom
energy relative to the elements: 0.027 eV/atom



Record 2
The following is a DFT calculation (PBE) of a relaxed structure of La3Pm4Ho4.

Cell lengths 5.7876, 6.7426, 10.8468 Å; angles 90.00, 90.00, 115.42 degrees
Fractional positions:
Ho 0.5576 0.1152 0.0000
Pm 0.9564 0.9129 0.0000
Pm 0.7481 0.4963 0.7843
Pm 0.7481 0.4963 0.2157
La 0.4118 0.8237 0.7124
La 0.2525 0.5049 0.0000
Ho 0.1070 0.2141 0.6945
Ho 0.6131 0.2261 0.5000
La 0.4118 0.8237 0.2876
Pm 0.8849 0.7698 0.5000
Ho 0.1070 0.2141 0.3055

Calculated values
symmetry: Amm2, No. 38
N(E_F): 1.676 states/eV/atom
offset from the most stable computed form: 15 meV/atom
energy relative to the elements: 0.151 eV/atom



Number 1: mass density 8.1 Mg/m³. Number 2: mass density 7.2 Mg/m³.